The following is a DFT calculation (PBE-GGA) of CaInPt3 after structural relaxation.

## Properties
DOS(E_F): 2.60 states/eV/cell
Total magnetic moment: 0.00 Bohr magnetons per cell
ΔE_f: 170 meV/atom
Distance to the lowest polymorph of the same formula: 0.000 eV per atom

Cell: 4.9945 4.9945 4.9945 Å, 90.00 90.00 90.00°
Space group Pm-3m (No. 221)
Symmetry-distinct sites (fractional):
Ca 0.0000 0.0000 0.0000 x1
In 0.5000 0.5000 0.5000 x1
Pt 0.0000 0.5000 0.5000 x3